[1]
{
  "formula": "Ca2InPd",
  "functional": "PBE-GGA",
  "state": "relaxed",
  "cell": [[5.0817, 0.0000, 0.0000], [0.0000, 5.0817, 0.0000], [0.0000, 0.0000, 3.9040]],
  "species": ["Ca", "Ca", "In", "Pd"],
  "fractional_positions": [[0.0000, 0.5000, 0.0000], [0.5000, 0.0000, 0.0000], [0.0000, 0.0000, 0.5000], [0.5000, 0.5000, 0.5000]],
  "magmom_total_mub_per_cell": 0.00,
  "e_tot_ev_per_atom": -3.47,
  "e_form_kj_per_mol_fu": -189
}

[2]
{
  "formula": "NaLuAl4",
  "functional": "PBE-GGA",
  "state": "relaxed",
  "cell": [[0.0000, 3.9159, 3.9159], [3.9159, 0.0000, 3.9159], [3.9159, 3.9159, 0.0000]],
  "species": ["Na", "Lu", "Al", "Al", "Al", "Al"],
  "fractional_positions": [[0.0000, 0.0000, 0.0000], [0.7500, 0.7500, 0.7500], [0.3756, 0.3756, 0.3756], [0.3756, 0.3756, 0.8731], [0.3756, 0.8731, 0.3756], [0.8731, 0.3756, 0.3756]],
  "magmom_total_mub_per_cell": 0.00,
  "e_tot_ev_per_atom": -3.65,
  "e_form_kj_per_mol_fu": -107
}

[3]
{
  "formula": "MgBe2Ir",
  "functional": "PBE-GGA",
  "state": "relaxed",
  "cell": [[2.9164, 0.0000, 0.0000], [0.0000, 2.9164, 0.0000], [0.0000, 0.0000, 5.8770]],
  "species": ["Mg", "Be", "Be", "Ir"],
  "fractional_positions": [[0.0000, 0.0000, 0.0000], [0.5000, 0.5000, 0.3021], [0.5000, 0.5000, 0.6979], [0.0000, 0.0000, 0.5000]],
  "magmom_total_mub_per_cell": 0.00,
  "e_tot_ev_per_atom": -4.79,
  "e_form_kj_per_mol_fu": -122
}

[4]
{
  "formula": "TlCdGaHg4",
  "functional": "PBE-GGA",
  "state": "relaxed",
  "cell": [[5.4436, -3.2193, 0.0000], [5.4436, 3.2193, 0.0000], [-0.4202, 0.0000, 10.5171]],
  "species": ["Tl", "Tl", "Cd", "Cd", "Ga", "Ga", "Hg", "Hg", "Hg", "Hg", "Hg", "Hg", "Hg", "Hg"],
  "fractional_positions": [[0.0549, 0.0549, 0.1598], [0.9451, 0.9451, 0.8402], [0.4796, 0.4796, 0.1365], [0.5204, 0.5204, 0.8635], [0.1226, 0.1226, 0.4531], [0.8774, 0.8774, 0.5469], [0.0780, 0.5699, 0.3109], [0.2543, 0.2543, 0.9483], [0.4007, 0.4007, 0.5953], [0.4301, 0.9220, 0.6891], [0.5699, 0.0780, 0.3109], [0.5993, 0.5993, 0.4047], [0.7457, 0.7457, 0.0517], [0.9220, 0.4301, 0.6891]],
  "magmom_total_mub_per_cell": 0.00,
  "e_tot_ev_per_atom": -1.02,
  "e_form_kj_per_mol_fu": 34
}

[5]
{
  "formula": "FeGeH2",
  "functional": "PBE-GGA",
  "state": "relaxed",
  "cell": [[0.0000, 2.5404, 2.5404], [2.5404, 0.0000, 2.5404], [2.5404, 2.5404, 0.0000]],
  "species": ["Fe", "Ge", "H", "H"],
  "fractional_positions": [[0.0000, 0.0000, 0.0000], [0.5000, 0.5000, 0.5000], [0.2500, 0.2500, 0.2500], [0.7500, 0.7500, 0.7500]],
  "polymorph_energy_mev_per_atom": 448.1,
  "magmom_total_mub_per_cell": 0.88,
  "e_tot_ev_per_atom": -4.07
}

[6]
{
  "formula": "Er4AlSnC",
  "functional": "PBE-GGA",
  "state": "relaxed",
  "cell": [[3.3677, -7.7265, 0.0000], [3.3677, 7.7265, 0.0000], [0.0000, 0.0000, 6.7303]],
  "species": ["Er", "Er", "Er", "Er", "Er", "Er", "Er", "Er", "Al", "Al", "Sn", "Sn", "C", "C"],
  "fractional_positions": [[0.0000, 0.5000, 0.0000], [0.0000, 0.5000, 0.5000], [0.0869, 0.9131, 0.7500], [0.4100, 0.5900, 0.7500], [0.5000, 0.0000, 0.0000], [0.5000, 0.0000, 0.5000], [0.5900, 0.4100, 0.2500], [0.9131, 0.0869, 0.2500], [0.1160, 0.8840, 0.2500], [0.8840, 0.1160, 0.7500], [0.3886, 0.6114, 0.2500], [0.6114, 0.3886, 0.7500], [0.2485, 0.7515, 0.7500], [0.7515, 0.2485, 0.2500]],
  "magmom_total_mub_per_cell": 0.00,
  "e_tot_ev_per_atom": -5.49,
  "e_form_kj_per_mol_fu": -309
}